(1)
Density functional theory data (PBE-GGA) for a relaxed AsPbSe2 crystal.

The space group is I-42d (No. 122) and the conventional cell measures 5.9526, 5.9526 and 14.9959 Å, with angles of 90.00, 90.00 and 90.00 degrees. Symmetry generates all atoms from As at (0.0000, 0.0000, 0.0000), Pb at (0.0000, 0.0000, 0.5000) and Se at (0.1951, 0.2500, 0.1250).

As for the formation energy (no corrections): -0.044 eV per atom. For the relative energy among the computed polymorphs, the calculation gives 14.4 kJ/mol of atoms.

---

(2)
Density functional theory data (PBE-GGA) for a relaxed Mn2Co crystal.

The space group is I4_1/amd (No. 141, origin choice 2) and the conventional cell measures 2.4347, 2.4347 and 22.3187 Å, with angles of 90.00, 90.00 and 90.00 degrees. Symmetry generates all atoms from Mn at (0.0000, 0.2500, 0.2962) and Co at (0.0000, 0.2500, 0.8750).

The formation enthalpy at 0 K is 267 meV/atom.

---

(3)
Density functional theory data (PBE-GGA) for a relaxed Nd3Ga2Co7 crystal.

The space group is R-3m (No. 166, hexagonal axes) and the conventional cell measures 5.2444, 5.2444 and 23.7879 Å, with angles of 90.00, 90.00 and 120.00 degrees. Symmetry generates all atoms from Nd at (0.0000, 0.0000, 0.0000), Nd at (0.0000, 0.0000, 0.1404), Ga at (0.0000, 0.0000, 0.3319), Co at (0.0000, 0.0000, 0.5000) and Co at (0.0075, 0.5038, 0.0822).

The formation enthalpy at 0 K is -191 meV/atom.

---

(4)
Density functional theory data (PBE-GGA) for a relaxed LiSiP4 crystal.

The space group is F-43m (No. 216) and the conventional cell measures 7.1990, 7.1990 and 7.1990 Å, with angles of 90.00, 90.00 and 90.00 degrees. Symmetry generates all atoms from Li at (0.0000, 0.0000, 0.0000), Si at (0.2500, 0.2500, 0.7500) and P at (0.1232, 0.1232, 0.3768).

As for the formation energy (no corrections): 0.436 eV per atom.

---

(5)
Density functional theory data (PBE-GGA) for a relaxed PrEu2Cu crystal.

The space group is P4/mmm (No. 123) and the conventional cell measures 3.6680, 3.6680 and 9.2611 Å, with angles of 90.00, 90.00 and 90.00 degrees. Symmetry generates all atoms from Pr at (0.0000, 0.0000, 0.0000), Eu at (0.5000, 0.5000, 0.3096) and Cu at (0.0000, 0.0000, 0.5000).

The formation enthalpy at 0 K is 2 meV/atom. For the relative energy among the computed polymorphs, the calculation gives 0.0 kJ/mol of atoms.

---

(6)
Density functional theory data (PBE-GGA) for a relaxed TmCdAgHg crystal.

The space group is F-43m (No. 216) and the conventional cell measures 7.0240, 7.0240 and 7.0240 Å, with angles of 90.00, 90.00 and 90.00 degrees. Symmetry generates all atoms from Tm at (0.0000, 0.0000, 0.0000), Cd at (0.0000, 0.0000, 0.5000), Ag at (0.2500, 0.2500, 0.2500) and Hg at (0.2500, 0.2500, 0.7500).

The formation enthalpy at 0 K is -318 meV/atom.

---

(7)
Density functional theory data (PBE-GGA) for a relaxed TaTe2Os crystal.

The space group is Pmmm (No. 47) and the conventional cell measures 3.2782, 4.5998 and 5.3696 Å, with angles of 90.00, 90.00 and 90.00 degrees. Symmetry generates all atoms from Ta at (0.0000, 0.0000, 0.0000), Te at (0.0000, 0.5000, 0.5000), Te at (0.5000, 0.5000, 0.0000) and Os at (0.5000, 0.0000, 0.5000).

As for the formation energy (no corrections): 0.890 eV per atom. For the relative energy among the computed polymorphs, the calculation gives 83.6 kJ/mol of atoms.

---

(8)
Density functional theory data (PBE-GGA) for a relaxed NiRu2Pt crystal.

The space group is I-42d (No. 122) and the conventional cell measures 3.6755, 3.6755 and 17.6955 Å, with angles of 90.00, 90.00 and 90.00 degrees. Symmetry generates all atoms from Ni at (0.0000, 0.0000, 0.0000), Ru at (0.2148, 0.2500, 0.1250) and Pt at (0.0000, 0.0000, 0.5000).

The formation enthalpy at 0 K is 450 meV/atom. For the relative energy among the computed polymorphs, the calculation gives 43.2 kJ/mol of atoms.

---

(9)
Density functional theory data (PBE-GGA) for a relaxed Tb5Zn4Cd crystal.

The space group is P4/mmm (No. 123) and the conventional cell measures 3.5918, 3.5918 and 18.3557 Å, with angles of 90.00, 90.00 and 90.00 degrees. Symmetry generates all atoms from Tb at (0.0000, 0.0000, 0.0000), Tb at (0.0000, 0.0000, 0.1943), Tb at (0.0000, 0.0000, 0.3870), Zn at (0.5000, 0.5000, 0.0974), Zn at (0.5000, 0.5000, 0.2921) and Cd at (0.5000, 0.5000, 0.5000).

The formation enthalpy at 0 K is -334 meV/atom.

---

(10)
Density functional theory data (PBE-GGA) for a relaxed LiCaTa crystal.

The space group is P6/mmm (No. 191) and the conventional cell measures 4.8651, 4.8651 and 6.7151 Å, with angles of 90.00, 90.00 and 120.00 degrees. Symmetry generates all atoms from Li at (0.3333, 0.6667, 0.0000), Ca at (0.0000, 0.0000, 0.2594) and Ta at (0.3333, 0.6667, 0.5000).

The formation enthalpy at 0 K is 444 meV/atom. For the relative energy among the computed polymorphs, the calculation gives 19.3 kJ/mol of atoms.